An optimized crystal structure of KNpPdSe2. Source: Alexandria via LeMat-Bulk, functional PBE-GGA.

Structure (extended XYZ):
```
10
Lattice="-1.707 -1.774 -4.138 6.911 -4.041 -1.119 -4.095 -5.250 3.939" Properties=species:S:1:pos:R:3 pbc="T T T"
K 0.068 -6.286 1.630
K 1.040 -4.779 -2.947
Np -1.861 -2.182 -1.045
Np -3.941 -4.841 0.845
Pd 0.000 0.000 0.000
Pd -2.047 -2.625 1.970
Se 0.100 -9.285 0.075
Se -1.685 -5.077 -0.992
Se 2.794 -5.988 -0.326
Se 1.009 -1.779 -1.393
```

Values from the calculation:
- energy relative to the elements, uncorrected (eV/atom) = -0.876
- density of states at the Fermi level (states/eV per cell) = 15.703
- total magnetic moment (μB/f.u.) = 3.983
- VASP energy (eV for the cell shown) = -61.16
- crystal system = monoclinic
- space group = P2/c